1.
An optimized crystal structure of KLa. Source: Alexandria, functional PBE.

Lattice parameters (Å, degrees): 6.4701 6.4701 6.4701 59.80 59.80 59.80
Closest atoms and distances in Å follow each position.
Positions (direct):
K (0.6247, 0.6247, 0.6247)  4 K 3.95-3.96, 4 La 3.96
K (0.3753, 0.3753, 0.3753)  4 K 3.95-3.96, 4 La 3.96
La (0.8742, 0.8742, 0.8742)  4 La 3.94-3.99, 4 K 3.96
La (0.1258, 0.1258, 0.1258)  4 La 3.94-3.99, 4 K 3.96

Computed properties:
* SG: No. 166


2.
An optimized crystal structure of KLa. Source: Alexandria, functional PBE.

Lattice parameters (Å, degrees): 8.4477 7.0790 3.7527 74.63 77.17 59.46
Closest atoms and distances in Å follow each position.
Positions (direct):
K (0.9972, 0.0108, 0.9960)  5 K 3.57-3.84
K (0.9194, 0.5725, 0.7540)  5 K 3.57-3.84
La (0.4698, 0.4960, 0.5171)  4 La 3.44-3.75
La (0.4468, 0.0873, 0.2329)  4 La 3.44-3.75

Computed properties:
* SG: No. 12


3.
An optimized crystal structure of K2La. Source: Alexandria, functional PBE.

Lattice parameters (Å, degrees): 7.4645 7.4645 7.4645 152.26 124.22 63.42
Closest atoms and distances in Å follow each position.
Positions (direct):
K (0.3346, 0.3346, 0.0000)  2 K 3.58
K (0.6654, 0.6654, 0.0000)  2 K 3.58
La (0.0000, 0.0000, 0.0000)  2 La 3.58

Computed properties:
* SG: No. 71
* relative energy among the computed polymorphs: 21.7 kJ per mole of atoms


4.
An optimized crystal structure of KLa5. Source: Alexandria, functional PBE.

Lattice parameters (Å, degrees): 7.0505 7.0505 7.0505 60.00 60.00 60.00
Closest atoms and distances in Å follow each position.
Positions (direct):
K (0.0000, 0.0000, 0.0000)  16 La 4.16-4.32
La (0.2500, 0.2500, 0.2500)  12 La 4.11, 4 K 4.32
La (0.6167, 0.6167, 0.6167)  3 La 3.29
La (0.6167, 0.6167, 0.1499)  3 La 3.29
La (0.1499, 0.6167, 0.6167)  3 La 3.29
La (0.6167, 0.1499, 0.6167)  3 La 3.29

Computed properties:
* SG: No. 216
* relative energy among the computed polymorphs: 13.6 kJ per mole of atoms


5.
An optimized crystal structure of K2La. Source: Alexandria, functional PBE.

Lattice parameters (Å, degrees): 12.3880 12.3880 7.2424 90.00 90.00 163.26
Closest atoms and distances in Å follow each position.
Positions (direct):
K (0.7886, 0.2114, 0.7500)  2 K 3.61
K (0.4560, 0.5440, 0.7500)  2 K 3.61
K (0.2114, 0.7886, 0.2500)  2 K 3.61
K (0.5440, 0.4560, 0.2500)  2 K 3.61
La (0.1227, 0.8773, 0.7500)  2 La 3.61
La (0.8773, 0.1227, 0.2500)  2 La 3.61

Computed properties:
* SG: No. 63
* relative energy among the computed polymorphs: 21.8 kJ per mole of atoms


6.
An optimized crystal structure of KLa3. Source: Alexandria, functional PBE.

Lattice parameters (Å, degrees): 6.1520 6.1520 6.1520 60.00 60.00 60.00
Closest atoms and distances in Å follow each position.
Positions (direct):
K (0.0000, 0.0000, 0.0000)  8 La 3.77
La (0.2500, 0.2500, 0.2500)  4 La 3.77, 4 K 3.77
La (0.5000, 0.5000, 0.5000)  8 La 3.77
La (0.7500, 0.7500, 0.7500)  4 La 3.77, 4 K 3.77

Computed properties:
* SG: No. 225


7.
An optimized crystal structure of K4La3. Source: Alexandria, functional PBE.

Lattice parameters (Å, degrees): 7.2119 7.2119 8.0972 90.00 90.00 120.00
Closest atoms and distances in Å follow each position.
Positions (direct):
K (0.0000, 0.0000, 0.2580)  2 K 3.92-4.18, 6 La 4.17
K (0.0000, 0.0000, 0.7420)  2 K 3.92-4.18, 6 La 4.17
K (0.6667, 0.3333, 0.5000)  9 K 4.16-4.60, 6 La 4.55
K (0.3333, 0.6667, 0.5000)  9 K 4.16-4.60, 6 La 4.55
La (0.0000, 0.5000, 0.0000)  4 La 3.61
La (0.5000, 0.5000, 0.0000)  4 La 3.61
La (0.5000, 0.0000, 0.0000)  4 La 3.61

Computed properties:
* SG: No. 191


8.
An optimized crystal structure of KLa. Source: Alexandria, functional PBE.

Lattice parameters (Å, degrees): 3.8494 3.8359 13.8302 74.12 90.00 90.00
Closest atoms and distances in Å follow each position.
Positions (direct):
K (0.0000, 0.9678, 0.0276)  4 K 3.84-3.85
K (0.5000, 0.7822, 0.7224)  4 K 3.84-3.85
La (0.0000, 0.5345, 0.4668)  8 La 3.65-3.85
La (0.5000, 0.2155, 0.2832)  8 La 3.65-3.85

Computed properties:
* SG: No. 11


In μB/f.u., the spin magnetization values for the records above are, in order, 0.02, 0.01, 0.00, 0.00, 0.05, 0.00, 0.00, 0.00.
In eV per atom, the ΔE_f values for the records above are, in order, 0.620, 0.408, 0.479, 0.354, 0.480, 0.447, 0.393, 0.191.
In eV/cell, the E values for the records above are, in order, -9.6, -10.4, -5.7, -23.6, -11.4, -14.1, -16.4, -11.3.